(1)
A plane-wave DFT calculation with PBE was carried out for TbDy2InC after structural relaxation.

**DFT formation energy**: -0.494 eV per atom
**SG**: P4/mmm, No. 123
**Volume**: 24.0 A^3/atom
**Magnetization**: 0.000 μB per atom

```
5
Lattice="-0.547 3.549 -3.411 -4.646 -1.445 -0.758 -1.538 3.116 3.489" Properties=species:S:1:pos:R:3 pbc="T T T"
C 0.000 0.000 0.000
Dy -0.769 1.558 1.744
Dy -2.323 -0.722 -0.379
In -3.366 2.610 -0.340
Tb -0.274 1.775 -1.706
```

---

(2)
A plane-wave DFT calculation with PBE was carried out for CeNi2Pt2 after structural relaxation.

**DFT formation energy**: -0.516 eV per atom
**SG**: I4/mmm, No. 139
**Volume**: 17.1 A^3/atom
**Magnetization**: 0.053 μB per atom

```
10
Lattice="-0.161 -3.862 0.464 2.083 -0.478 -3.254 8.585 2.498 7.457" Properties=species:S:1:pos:R:3 pbc="T T T"
Ni 4.692 -1.766 3.263
Pt -0.081 -1.931 0.232
Ni 9.127 -1.888 3.791
Pt 3.401 0.117 2.160
Ni 1.380 0.048 0.876
Pt 7.105 -1.958 2.507
Pt 1.041 -0.239 -1.627
Ni 5.814 -0.074 1.404
Ce 3.253 -2.091 0.061
Ce 7.254 0.250 4.606
```

---

(3)
A plane-wave DFT calculation with PBE was carried out for HoTh2In2Ag2 after structural relaxation.

**DFT formation energy**: -0.132 eV per atom
**SG**: R-3m, No. 166
**Volume**: 26.2 A^3/atom
**Magnetization**: 0.000 μB per atom

```
7
Lattice="4.863 0.000 0.000 2.431 4.211 0.000 2.431 1.404 8.948" Properties=species:S:1:pos:R:3 pbc="T T T"
Ag 4.863 2.807 1.598
Th 2.431 1.404 5.505
In 7.294 4.211 7.178
Ho 0.000 0.000 0.000
Ag 4.863 2.807 7.350
Th 7.294 4.211 3.443
In 2.431 1.404 1.771
```

---

(4)
A plane-wave DFT calculation with PBE was carried out for Sr2CaZnCu after structural relaxation.

**DFT formation energy**: 0.052 eV per atom
**SG**: P4/mmm, No. 123
**Volume**: 34.8 A^3/atom
**Magnetization**: 0.000 μB per atom

```
5
Lattice="-3.825 -0.047 4.663 -2.765 -4.834 -2.317 2.978 -2.861 2.415" Properties=species:S:1:pos:R:3 pbc="T T T"
Cu 0.000 0.000 0.000
Ca -1.806 -3.871 2.380
Zn 1.489 -1.430 1.207
Sr -1.383 -2.417 -1.158
Sr -1.913 -0.023 2.331
```

---

(5)
A plane-wave DFT calculation with PBE was carried out for BaGa2Te2 after structural relaxation.

**Uncorrected formation energy**: -0.6036 eV/atom
**SG**: I4/mmm, No. 139
**Excess energy over the best structure of this formula in the dataset**: 4.9 kJ/mol of atoms
**Volume**: 33.0 A^3/atom
**Magnetization**: 0.000 μB per atom

```
5
Lattice="4.395 0.000 0.000 0.000 4.395 0.000 2.197 2.197 8.544" Properties=species:S:1:pos:R:3 pbc="T T T"
Ba 0.000 0.000 0.000
Ga 2.197 4.395 4.272
Te 4.395 4.395 6.682
Te 2.197 2.197 1.862
Ga 4.395 2.197 4.272
```

---

(6)
A plane-wave DFT calculation with PBE was carried out for Hf3Re after structural relaxation.

**DFT formation energy**: -0.111 eV per atom
**SG**: Cmcm, No. 63
**Volume**: 20.6 A^3/atom
**Magnetization**: 0.000 μB per atom

```
8
Lattice="-0.940 3.264 0.105 -1.885 -2.146 -5.118 -7.492 -2.276 3.714" Properties=species:S:1:pos:R:3 pbc="T T T"
Hf -7.726 -2.293 2.136
Hf -4.792 -1.401 0.681
Hf -2.578 1.012 0.475
Hf -7.738 -2.170 -1.774
Hf -5.524 0.243 -1.980
Re -3.040 -0.824 -1.582
Hf -2.590 1.134 -3.434
Re -7.276 -0.335 0.283
```

---

> Which value of volume does entry 4 give?

34.8 A^3/atom

---

> Among the records above, which one has the highest magnetization?

CeNi2Pt2

---

> Which formula does entry 1 have?

TbDy2InC

---

> Which value of volume does entry 3 give?

26.2 A^3/atom